DFT (PBE) results for an optimized crystal structure of BaCrW2.

Summary:
Symmetry: R-3m (166)
Energy relative to the lowest polymorph listed for this composition: 306.8 meV per atom
Crystal system: trigonal
Energy of formation: 4.7 eV/f.u.
DOS(E_F): 4.7 states/eV/f.u.

a b c (Å): 3.0386 3.0386 29.7129
angles (deg): 90.00 90.00 120.00
Element x y z (fractional)
Ba  0.0000  0.0000  0.0000
Ba  0.3333  0.6667  0.6667
Ba  0.6667  0.3333  0.3333
Cr  0.0000  0.0000  0.5000
Cr  0.3333  0.6667  0.1667
Cr  0.6667  0.3333  0.8333
W  0.0000  0.0000  0.2287
W  0.0000  0.0000  0.7713
W  0.3333  0.6667  0.4379
W  0.3333  0.6667  0.8954
W  0.6667  0.3333  0.1046
W  0.6667  0.3333  0.5621